(1)
The following is a GGA-PBE calculation of crystalline BaAu2S4O16 at its relaxed geometry, from Alexandria via LeMat-Bulk.

Cell: 6.893 6.893 9.734 Å, 108.43 108.43 84.48°
Sites, in units of the cell vectors:
Ba: 0.000 0.000 0.000
Au: 0.000 0.000 0.500
Au: 0.500 0.500 0.500
S: 0.105 0.606 0.268
S: 0.394 0.895 0.732
S: 0.606 0.105 0.268
S: 0.895 0.394 0.732
O: 0.003 0.307 0.608
O: 0.051 0.720 0.159
O: 0.053 0.390 0.210
O: 0.280 0.949 0.841
O: 0.307 0.003 0.608
O: 0.337 0.641 0.344
O: 0.359 0.663 0.656
O: 0.390 0.053 0.210
O: 0.610 0.947 0.790
O: 0.641 0.337 0.344
O: 0.663 0.359 0.656
O: 0.693 0.997 0.392
O: 0.720 0.051 0.159
O: 0.947 0.610 0.790
O: 0.949 0.280 0.841
O: 0.997 0.693 0.392

symmetry = C2/m, No. 12
total moment = 0.0 μB per formula unit
VASP energy = -133.4 eV per formula unit
E_form (uncorrected) = -1.26 eV per atom

=====

(2)
The following is a GGA-PBE calculation of crystalline Tl4In3Br8 at its relaxed geometry, from Alexandria via LeMat-Bulk.

Cell: 9.229 9.229 9.207 Å, 119.44 119.44 90.83°
Sites, in units of the cell vectors:
Tl: 0.000 0.000 0.000
Tl: 0.000 0.500 0.000
Tl: 0.500 0.000 0.000
Tl: 0.500 0.500 0.500
In: 0.000 0.500 0.500
In: 0.500 0.000 0.500
In: 0.500 0.500 0.000
Br: 0.248 0.752 0.500
Br: 0.250 0.250 0.513
Br: 0.254 0.746 0.000
Br: 0.257 0.257 0.996
Br: 0.743 0.743 0.004
Br: 0.746 0.254 0.000
Br: 0.750 0.750 0.487
Br: 0.752 0.248 0.500

symmetry = C2/m, No. 12
total moment = 0.0 μB per formula unit
VASP energy = -42.0 eV per formula unit
E_form (uncorrected) = -0.73 eV per atom

=====

(3)
The following is a GGA-PBE calculation of crystalline MoCSe3 at its relaxed geometry, from Alexandria via LeMat-Bulk.

Cell: 4.911 4.911 4.911 Å, 90.00 90.00 90.00°
Sites, in units of the cell vectors:
Mo: 0.000 0.000 0.000
C: 0.500 0.500 0.500
Se: 0.000 0.000 0.500
Se: 0.000 0.500 0.000
Se: 0.500 0.000 0.000

symmetry = Pm-3m, No. 221
total moment = 1.8 μB per formula unit
VASP energy = -23.0 eV per formula unit
E_form (uncorrected) = 1.51 eV per atom
relative energy among the computed polymorphs = 0.269 eV/atom

=====

(4)
The following is a GGA-PBE calculation of crystalline TiCuIr3 at its relaxed geometry, from Alexandria via LeMat-Bulk.

Cell: 4.429 4.429 4.429 Å, 90.00 90.00 90.00°
Sites, in units of the cell vectors:
Ti: 0.000 0.000 0.000
Cu: 0.500 0.500 0.500
Ir: 0.000 0.500 0.500
Ir: 0.500 0.000 0.500
Ir: 0.500 0.500 0.000

symmetry = Pm-3m, No. 221
total moment = 0.0 μB per formula unit
DFT formation energy = 1099 meV per atom
VASP energy = -33.1 eV per formula unit
relative energy among the computed polymorphs = 0.000 eV/atom

=====

(5)
The following is a GGA-PBE calculation of crystalline CsPuO4 at its relaxed geometry, from Alexandria via LeMat-Bulk.

Cell: 4.209 4.209 6.614 Å, 90.00 90.00 90.00°
Sites, in units of the cell vectors:
Cs: 0.000 0.000 0.000
Pu: 0.500 0.500 0.500
O: 0.000 0.500 0.500
O: 0.500 0.000 0.500
O: 0.500 0.500 0.221
O: 0.500 0.500 0.779

symmetry = P4/mmm, No. 123
total moment = 1.0 μB per formula unit
VASP energy = -48.7 eV per formula unit
E_form (uncorrected) = -2.28 eV per atom
relative energy among the computed polymorphs = 0.000 eV/atom

=====

(6)
The following is a GGA-PBE calculation of crystalline Ba3P4Pd4 at its relaxed geometry, from Alexandria via LeMat-Bulk.

Cell: 4.337 4.603 12.579 Å, 100.39 99.85 90.16°
Sites, in units of the cell vectors:
Ba: 0.000 0.000 0.000
Ba: 0.354 0.855 0.706
Ba: 0.646 0.145 0.294
P: 0.203 0.709 0.400
P: 0.453 0.454 0.905
P: 0.547 0.546 0.095
P: 0.797 0.291 0.600
Pd: 0.099 0.600 0.198
Pd: 0.243 0.272 0.500
Pd: 0.757 0.728 0.500
Pd: 0.901 0.400 0.802

symmetry = P-1, No. 2
total moment = 0.0 μB per formula unit
DFT formation energy = -838 meV per atom
VASP energy = -57.4 eV per formula unit

=====

Copy entry 4 word for word.
The following is a GGA-PBE calculation of crystalline TiCuIr3 at its relaxed geometry, from Alexandria via LeMat-Bulk.

Cell: 4.429 4.429 4.429 Å, 90.00 90.00 90.00°
Sites, in units of the cell vectors:
Ti: 0.000 0.000 0.000
Cu: 0.500 0.500 0.500
Ir: 0.000 0.500 0.500
Ir: 0.500 0.000 0.500
Ir: 0.500 0.500 0.000

symmetry = Pm-3m, No. 221
total moment = 0.0 μB per formula unit
DFT formation energy = 1099 meV per atom
VASP energy = -33.1 eV per formula unit
relative energy among the computed polymorphs = 0.000 eV/atom

=====

> Which value of total moment does entry 6 give?

0.0 μB per formula unit